Entry 1:
The following is a PBE-GGA calculation of a relaxed structure of LiHoCdAg, from the Alexandria database.

```
LiHoCdAg
1.0
0.0000 3.4557 3.4557
3.4557 0.0000 3.4557
3.4557 3.4557 0.0000
Li Ho Cd Ag
1 1 1 1
Cartesian
0.0000 0.0000 0.0000
1.7279 1.7279 1.7279
5.1836 5.1836 5.1836
3.4557 3.4557 3.4557
```

Properties
The value obtained for the formation energy is -0.217 eV per atom. The symmetry is F-43m, No. 216.



Entry 2:
The following is a PBE-GGA calculation of a relaxed structure of NaMgTlIn2, from the Alexandria database.

```
NaMgTlIn2
1.0
1.6987 -8.5507 0.0000
1.6987 8.5507 0.0000
0.0000 0.0000 10.2153
Na Mg Tl In
2 2 2 4
Cartesian
1.6987 6.5501 7.6615
1.6987 -6.5501 2.5538
1.6987 5.0963 2.5538
1.6987 -5.0963 7.6615
0.0000 0.0000 0.0000
0.0000 0.0000 5.1076
1.6987 2.8776 5.2030
1.6987 2.8776 10.1199
1.6987 -2.8776 0.0954
1.6987 -2.8776 5.0123
```

Properties
The value obtained for the formation energy is 0.034 eV per atom. The symmetry is Cmcm, No. 63.



Entry 3:
The following is a PBE-GGA calculation of a relaxed structure of SrPm2Co, from the Alexandria database.

```
SrPm2Co
1.0
2.0300 1.1720 9.5978
-2.0300 1.1720 9.5978
0.0000 -2.3440 9.5978
Sr Pm Co
1 2 1
Cartesian
0.0000 0.0000 0.0000
0.0000 0.0000 6.2563
0.0000 0.0000 13.0121
0.0000 0.0000 24.0297
```

Properties
The value obtained for the excess energy over the best structure of this formula in the dataset is 0 kJ/mol of formula units. The value obtained for the formation energy is -0.003 eV per atom. The symmetry is R3m, No. 160.



Entry 4:
The following is a PBE-GGA calculation of a relaxed structure of CaZrBe2, from the Alexandria database.

```
CaZrBe2
1.0
3.3444 0.0000 0.0000
0.0000 3.3444 0.0000
0.0000 0.0000 6.6082
Ca Zr Be
1 1 2
Cartesian
0.0000 0.0000 0.0000
0.0000 0.0000 3.3041
1.6722 1.6722 2.0244
1.6722 1.6722 4.5837
```

Properties
The value obtained for the excess energy over the best structure of this formula in the dataset is 6 kJ/mol of formula units. The value obtained for the formation energy is 0.147 eV per atom. The symmetry is P4/mmm, No. 123.



Entry 5:
The following is a PBE-GGA calculation of a relaxed structure of UPbN2, from the Alexandria database.

```
UPbN2
1.0
1.7617 1.0171 6.7564
-1.7617 1.0171 6.7564
0.0000 -2.0342 6.7564
U Pb N
1 1 2
Cartesian
0.0000 0.0000 0.0000
0.0000 0.0000 10.1346
0.0000 0.0000 5.8568
0.0000 0.0000 14.4123
```

Properties
The symmetry is R-3m, No. 166.



Entry 6:
The following is a PBE-GGA calculation of a relaxed structure of DyNi2Bi, from the Alexandria database.

```
DyNi2Bi
1.0
0.0000 3.3114 3.3114
3.3114 0.0000 3.3114
3.3114 3.3114 0.0000
Dy Ni Bi
1 2 1
Cartesian
0.0000 0.0000 0.0000
1.6557 1.6557 1.6557
4.9671 4.9671 4.9671
3.3114 3.3114 3.3114
```

Properties
The value obtained for the formation energy is -0.289 eV per atom. The symmetry is Fm-3m, No. 225.



Entry 7:
The following is a PBE-GGA calculation of a relaxed structure of Ca2AlBi, from the Alexandria database.

```
Ca2AlBi
1.0
-4.2536 4.2536 3.4861
4.2536 -4.2536 3.4861
4.2536 4.2536 -3.4861
Ca Al Bi
4 2 2
Cartesian
6.3803 2.0951 -0.8715
2.0951 2.1268 0.8715
-2.1268 2.1584 2.6146
2.1584 2.1268 4.3577
0.0000 0.0000 0.0000
0.0000 4.2536 1.7431
4.2536 0.0000 1.7431
0.0000 0.0000 3.4861
```

Properties
The value obtained for the excess energy over the best structure of this formula in the dataset is 117 kJ/mol of formula units. The value obtained for the formation energy is -0.141 eV per atom. The symmetry is I-42d, No. 122.



Entry 8:
The following is a PBE-GGA calculation of a relaxed structure of KCrBCl2, from the Alexandria database.

```
KCrBCl2
1.0
4.9306 0.0000 0.0000
0.0000 4.9306 0.0000
0.0000 0.0000 3.9987
K Cr B Cl
1 1 1 2
Cartesian
0.0000 0.0000 0.0000
2.4653 2.4653 1.9994
2.4653 2.4653 0.0000
0.0000 2.4653 1.9994
2.4653 0.0000 1.9994
```

Properties
The symmetry is P4/mmm, No. 123.



Entry 9:
The following is a PBE-GGA calculation of a relaxed structure of LaIn2Co, from the Alexandria database.

```
LaIn2Co
1.0
4.3158 0.0000 0.0000
0.0000 4.3158 0.0000
0.0000 0.0000 5.0310
La In Co
1 2 1
Cartesian
0.0000 0.0000 0.0000
0.0000 2.1579 2.5155
2.1579 0.0000 2.5155
2.1579 2.1579 0.0000
```

Properties
The value obtained for the formation energy is -0.019 eV per atom. The symmetry is P4/mmm, No. 123.



Entry 10:
The following is a PBE-GGA calculation of a relaxed structure of BeTe3, from the Alexandria database.

```
BeTe3
1.0
6.3656 0.0000 0.0000
0.0000 9.5552 0.0000
0.0000 0.0000 7.5567
Be Te
4 12
Cartesian
0.7297 2.3888 0.6083
2.4531 7.1664 4.3867
3.9125 2.3888 3.1700
5.6359 7.1664 6.9484
0.7568 2.3888 5.7569
0.7827 5.5460 5.6528
0.7827 8.7868 5.6528
2.4001 0.7684 1.8744
2.4001 4.0092 1.8744
2.4260 7.1664 1.9785
3.9396 2.3888 5.5782
3.9655 5.5460 5.6823
3.9655 8.7868 5.6823
5.5829 0.7684 1.9039
5.5829 4.0092 1.9039
5.6088 7.1664 1.7998
```

Properties
The value obtained for the excess energy over the best structure of this formula in the dataset is 0 kJ/mol of formula units. The symmetry is Pnma, No. 62.



Entry 11:
The following is a PBE-GGA calculation of a relaxed structure of BaMg2Cu, from the Alexandria database.

```
BaMg2Cu
1.0
-2.5276 2.9573 3.8370
2.5276 -2.9573 3.8370
2.5276 2.9573 -3.8370
Ba Mg Cu
1 2 1
Cartesian
0.0000 0.0000 0.0000
0.0000 0.0000 3.5644
0.0000 2.9573 1.5343
2.5276 0.0000 2.4899
```

Properties
The value obtained for the formation energy is 0.091 eV per atom. The symmetry is Imm2, No. 44.



Entry 12:
The following is a PBE-GGA calculation of a relaxed structure of CeHo5Tm, from the Alexandria database.

```
CeHo5Tm
1.0
6.1753 0.0000 0.0000
-0.6714 6.3853 0.0000
-0.6364 -3.0387 5.6516
Ce Ho Tm
1 5 1
Cartesian
0.0000 0.0000 0.0000
-0.3182 -1.5193 2.8258
1.2203 3.4595 0.4427
2.0949 3.0934 3.8863
2.7726 0.2532 1.7654
3.6472 -0.1128 5.2090
-0.6539 1.6733 2.8258
```

Properties
The value obtained for the formation energy is 0.223 eV per atom. The symmetry is P-1, No. 2.



no.,final energy (eV/atom),M_tot (μB/f.u.)
1,-2.781,0.01
2,-2.117,0.00
3,-4.575,0.00
4,-4.353,0.00
5,-8.640,0.07
6,-5.300,0.00
7,-3.048,0.00
8,-4.324,0.00
9,-4.397,0.66
10,-3.261,0.00
11,-2.211,0.00
12,-4.533,1.63